Record 1
# YCr2Mo

An optimized crystal structure of YCr2Mo (GGA-PBE, Alexandria).

Relative energy among the computed polymorphs: 86.5 meV/atom
ΔE_f: 0.4411 eV per atom
Crystal system: monoclinic

a = 2.953 Å, b = 4.078 Å, c = 6.019 Å
α = 90.00°, β = 102.86°, γ = 90.00°
Space group P2/m (No. 10)
Asymmetric unit:
Y 0.000 0.000 0.000 (multiplicity 1)
Cr 0.228 0.500 0.665 (multiplicity 2)
Mo 0.500 0.000 0.500 (multiplicity 1)


Record 2
# CaNdSmHg

An optimized crystal structure of CaNdSmHg (GGA-PBE, Alexandria).

Relative energy among the computed polymorphs: 154.1 meV/atom
ΔE_f: -0.0841 eV per atom
Crystal system: cubic

a = 7.877 Å, b = 7.877 Å, c = 7.877 Å
α = 90.00°, β = 90.00°, γ = 90.00°
Space group F-43m (No. 216)
Asymmetric unit:
Ca 0.000 0.000 0.000 (multiplicity 4)
Nd 0.250 0.250 0.750 (multiplicity 4)
Sm 0.250 0.250 0.250 (multiplicity 4)
Hg 0.000 0.000 0.500 (multiplicity 4)


Record 3
# KInFe3

An optimized crystal structure of KInFe3 (GGA-PBE, Alexandria).

Relative energy among the computed polymorphs: 812.5 meV/atom
ΔE_f: 2.1844 eV per atom
Crystal system: cubic

a = 4.594 Å, b = 4.594 Å, c = 4.594 Å
α = 90.00°, β = 90.00°, γ = 90.00°
Space group Pm-3m (No. 221)
Asymmetric unit:
K 0.000 0.000 0.000 (multiplicity 1)
In 0.500 0.500 0.500 (multiplicity 1)
Fe 0.000 0.000 0.500 (multiplicity 3)


Record 4
# CrBi2H

An optimized crystal structure of CrBi2H (GGA-PBE, Alexandria).

Relative energy among the computed polymorphs: 34.2 meV/atom
Crystal system: cubic

a = 6.910 Å, b = 6.910 Å, c = 6.910 Å
α = 90.00°, β = 90.00°, γ = 90.00°
Space group Fm-3m (No. 225)
Asymmetric unit:
Cr 0.000 0.000 0.000 (multiplicity 4)
Bi 0.250 0.250 0.250 (multiplicity 8)
H 0.000 0.000 0.500 (multiplicity 4)


| no. | energy (eV for the cell shown) | magnetization (μB per atom) |
| --- | --- | --- |
| 1 | -34.8 | 0.000 |
| 2 | -48.5 | 0.000 |
| 3 | -18.3 | 1.536 |
| 4 | -73.0 | 1.039 |